The following is a PBE+U calculation of an optimized crystal structure of CrNiPdF6, from Alexandria.

The value obtained for the uncorrected energy is -4.93 eV per atom. The calculation puts the magnetic moment at 0.000 Bohr magnetons per cell.

The space group is P-31c (No. 163) and the conventional cell measures 5.3187, 5.3187 and 10.0410 Å, with angles of 90.00, 90.00 and 120.00 degrees. Symmetry generates all atoms from Cr at (0.3333, 0.6667, 0.2500), Ni at (0.3333, 0.6667, 0.7500), Pd at (0.0000, 0.0000, 0.0000) and F at (0.0105, 0.3693, 0.1442).